No. 1
Computed, not measured: a PBEsol-optimized structure of HfAl2Bi at the meta-GGA SCAN level of DFT.

Its total moment is 0.0 μB per cell. As for the energy of formation: 1.4 eV/f.u.

The structure belongs to space group I-42d (No. 122); the cell edges are 7.887, 7.887 and 5.814 Å and the angles 90.00°, 90.00° and 90.00°. The asymmetric unit holds Hf at (0.000, 0.000, 0.000), Al at (0.247, 0.750, 0.125) and Bi at (0.000, 0.000, 0.500).

No. 2
Computed, not measured: a PBEsol-optimized structure of HfAlBi2P at the meta-GGA SCAN level of DFT.

Its total moment is 0.0 μB per cell. As for the energy of formation: 3.6 eV/f.u.

The structure belongs to space group P4/mmm (No. 123); the cell edges are 5.343, 5.343 and 4.462 Å and the angles 90.00°, 90.00° and 90.00°. The asymmetric unit holds Hf at (0.000, 0.000, 0.000), Al at (0.500, 0.500, 0.000), Bi at (0.000, 0.500, 0.500) and P at (0.500, 0.500, 0.500).

No. 3
Computed, not measured: a PBEsol-optimized structure of Al2HgBi at the meta-GGA SCAN level of DFT.

Its total moment is 0.0 μB per cell. As for the energy of formation: 0.9 eV/f.u.

The structure belongs to space group I-42d (No. 122); the cell edges are 7.817, 7.817 and 6.026 Å and the angles 90.00°, 90.00° and 90.00°. The asymmetric unit holds Al at (0.235, 0.750, 0.125), Hg at (0.000, 0.000, 0.000) and Bi at (0.000, 0.000, 0.500).

No. 4
Computed, not measured: a PBEsol-optimized structure of AlHg2Bi at the meta-GGA SCAN level of DFT.

Its total moment is 0.0 μB per cell. As for the energy of formation: 1.0 eV/f.u.

The structure belongs to space group Fm-3m (No. 225); the cell edges are 7.263, 7.263 and 7.263 Å and the angles 90.00°, 90.00° and 90.00°. The asymmetric unit holds Al at (0.000, 0.000, 0.000), Hg at (0.250, 0.250, 0.250) and Bi at (0.000, 0.000, 0.500).